[1]
This record from Alexandria describes a geometry-optimized LiCd2Sb structure. The functional is GGA-PBEsol.

Lattice parameters (Å, degrees): 3.1143 3.1143 8.8948 90.00 90.00 90.17
With the nearest neighbours (Å) after each atom.
Atoms (fractional coordinates):
Li 0.0000 0.0000 0.0000  8 Cd 2.92, 4 Li 3.11
Cd 0.5000 0.5000 0.2159  4 Li 2.92, 4 Cd 3.11
Cd 0.5000 0.5000 0.7841  4 Li 2.92, 4 Cd 3.11
Sb 0.0000 0.0000 0.5000  4 Sb 3.11, 8 Cd 3.35

Formation energy without anion corrections ... -0.081 eV/atom
Total magnetization ... 0.0 μB/f.u.

[2]
This record from Alexandria describes a geometry-optimized ErCu2Si2 structure. The functional is GGA-PBEsol.

Lattice parameters (Å, degrees): 5.6497 5.6497 5.6497 139.64 139.64 58.40
With the nearest neighbours (Å) after each atom.
Atoms (fractional coordinates):
Er 0.0000 0.0000 0.0000  8 Si 2.99, 8 Cu 3.14
Cu 0.2500 0.7500 0.5000  4 Si 2.35
Cu 0.7500 0.2500 0.5000  4 Si 2.35
Si 0.3825 0.3825 0.0000  1 Si 2.32, 4 Cu 2.35
Si 0.6175 0.6175 0.0000  1 Si 2.32, 4 Cu 2.35

Formation energy without anion corrections ... -0.643 eV/atom
Total magnetization ... 0.0 μB/f.u.

[3]
This record from Alexandria describes a geometry-optimized AlTlP structure. The functional is GGA-PBEsol.

Lattice parameters (Å, degrees): 4.5549 4.5549 4.5549 60.00 60.00 60.00
With the nearest neighbours (Å) after each atom.
Atoms (fractional coordinates):
Al 0.0000 0.0000 0.0000  4 Tl 2.79, 4 P 2.79
Tl 0.7500 0.7500 0.7500  4 Al 2.79
P 0.2500 0.2500 0.2500  4 Al 2.79

Total magnetization ... 0.0 μB/f.u.
Formation enthalpy at 0 K ... 0.91 eV per formula unit

[4]
This record from Alexandria describes a geometry-optimized K2LiIr structure. The functional is GGA-PBEsol.

Lattice parameters (Å, degrees): 5.6780 5.6780 5.6780 136.27 122.87 74.61
With the nearest neighbours (Å) after each atom.
Atoms (fractional coordinates):
K 0.0000 0.0000 0.0000  4 K 3.25-3.45, 4 Ir 3.27-3.39, 4 Li 3.54
K 0.6988 0.1988 0.5000  4 K 3.25-3.45, 4 Li 3.31-3.37, 4 Ir 3.51
Li 0.4081 0.4081 0.0000  2 Ir 2.43
Ir 0.2758 0.7758 0.5000  2 Li 2.43

Total magnetization ... 0.1 μB/f.u.
Formation enthalpy at 0 K ... 2.64 eV per formula unit

[5]
This record from Alexandria describes a geometry-optimized La2InCl structure. The functional is GGA-PBEsol.

Lattice parameters (Å, degrees): 5.6911 5.6911 3.3205 90.00 90.00 90.00
With the nearest neighbours (Å) after each atom.
Atoms (fractional coordinates):
La 0.0000 0.5000 0.0000  4 Cl 3.29, 4 In 3.29, 2 La 3.32
La 0.5000 0.0000 0.0000  4 Cl 3.29, 4 In 3.29, 2 La 3.32
In 0.0000 0.0000 0.5000  8 La 3.29, 2 In 3.32
Cl 0.5000 0.5000 0.5000  8 La 3.29, 2 Cl 3.32

Energy above the lowest structure with this stoichiometry ... 0.089 eV/atom
Formation energy without anion corrections ... -0.922 eV/atom
Total magnetization ... 0.0 μB/f.u.

[6]
This record from Alexandria describes a geometry-optimized LiYO2F structure. The functional is GGA-PBEsol.

Lattice parameters (Å, degrees): 3.6653 3.6653 3.5406 90.00 90.00 90.00
With the nearest neighbours (Å) after each atom.
Atoms (fractional coordinates):
Li 0.0000 0.0000 0.0000  2 F 1.77, 4 O 1.83
Y 0.5000 0.5000 0.5000  8 O 2.55, 4 F 2.59
O 0.0000 0.5000 0.0000  2 Li 1.83
O 0.5000 0.0000 0.0000  2 Li 1.83
F 0.0000 0.0000 0.5000  2 Li 1.77

Formation energy without anion corrections ... -2.509 eV/atom
Total magnetization ... 1.0 μB/f.u.

[7]
This record from Alexandria describes a geometry-optimized AsPBr2 structure. The functional is GGA-PBEsol.

Lattice parameters (Å, degrees): 3.2060 3.8936 6.4022 90.00 90.00 90.00
With the nearest neighbours (Å) after each atom.
Atoms (fractional coordinates):
As 0.0000 0.0000 0.0000  8 Br 3.00, 2 P 3.20, 2 As 3.21
P 0.0000 0.0000 0.5000  8 Br 2.98, 2 As 3.20, 2 P 3.21
Br 0.5000 0.5000 0.2531  4 P 2.98, 4 As 3.00, 4 Br 3.16-3.24
Br 0.5000 0.5000 0.7469  4 P 2.98, 4 As 3.00, 4 Br 3.16-3.24

Energy above the lowest structure with this stoichiometry ... 0.927 eV/atom
Formation energy without anion corrections ... 0.765 eV/atom
Total magnetization ... 0.0 μB/f.u.

[8]
This record from Alexandria describes a geometry-optimized AgMo2Ru structure. The functional is GGA-PBEsol.

Lattice parameters (Å, degrees): 4.4136 4.4136 4.4136 60.00 60.00 60.00
With the nearest neighbours (Å) after each atom.
Atoms (fractional coordinates):
Ag 0.0000 0.0000 0.0000  8 Mo 2.70
Mo 0.2500 0.2500 0.2500  4 Ru 2.70, 4 Ag 2.70
Mo 0.7500 0.7500 0.7500  4 Ru 2.70, 4 Ag 2.70
Ru 0.5000 0.5000 0.5000  8 Mo 2.70

Energy above the lowest structure with this stoichiometry ... 0.425 eV/atom
Total magnetization ... 0.0 μB/f.u.
Formation enthalpy at 0 K ... 2.76 eV per formula unit